1.
SrNdVO4 | PBE with a Hubbard U | relaxed

Output
- SG: I4mm, No. 107
- Crystal system: tetragonal

Lattice parameters (Å, degrees): 6.891 6.891 6.891 147.05 147.05 47.29
Element x y z (fractional)
Sr: 0.000 0.000 0.000
Nd: 0.712 0.712 0.000
V: 0.357 0.357 0.000
O: 0.188 0.188 0.000
O: 0.345 0.845 0.500
O: 0.530 0.530 0.000
O: 0.845 0.345 0.500

2.
Sr2NdVO6 | PBE with a Hubbard U | relaxed

Output
- SG: Fm-3m, No. 225
- Crystal system: cubic

Lattice parameters (Å, degrees): 5.926 5.926 5.926 60.00 60.00 60.00
Element x y z (fractional)
Sr: 0.250 0.250 0.250
Sr: 0.750 0.750 0.750
Nd: 0.000 0.000 0.000
V: 0.500 0.500 0.500
O: 0.273 0.273 0.727
O: 0.273 0.727 0.273
O: 0.273 0.727 0.727
O: 0.727 0.273 0.273
O: 0.727 0.273 0.727
O: 0.727 0.727 0.273

3.
SrNd2WO8 | PBE with a Hubbard U | relaxed

Output
- SG: P-1, No. 2
- Crystal system: triclinic

Lattice parameters (Å, degrees): 4.335 5.427 7.103 90.03 107.56 90.02
Element x y z (fractional)
Sr: 0.000 0.000 0.000
Nd: 0.373 0.499 0.704
Nd: 0.627 0.501 0.296
W: 0.000 0.000 0.500
O: 0.171 0.501 0.999
O: 0.189 0.263 0.386
O: 0.189 0.734 0.388
O: 0.350 0.002 0.754
O: 0.650 0.998 0.246
O: 0.811 0.266 0.612
O: 0.811 0.737 0.614
O: 0.829 0.499 0.001

no.,energy (eV per formula unit),total magnetization (μB/f.u.)
1,-52.99,2.00
2,-71.49,0.00
3,-88.82,0.00